No. 1
ErTh2Al12Fe3 | PBE-GGA | optimized geometry

Lattice parameters (Å, degrees): 7.9169 7.9169 7.9169 64.63 64.63 64.63
Closest atoms and distances in Å follow each position.
Atoms (fractional coordinates):
Al 0.7267 0.7267 0.0959  2 Fe 2.22
Al 0.5273 0.1627 0.1627  1 Fe 2.29
Al 0.8373 0.4727 0.8373  1 Fe 2.29
Er 0.0000 0.0000 0.0000  12 Al 3.24-3.34
Al 0.0959 0.7267 0.7267  2 Fe 2.22
Al 0.4727 0.8373 0.8373  1 Fe 2.29
Al 0.2733 0.2733 0.9041  2 Fe 2.22
Fe 0.0000 0.0000 0.5000  6 Al 2.22-2.29
Al 0.2733 0.9041 0.2733  2 Fe 2.22
Fe 0.5000 0.0000 0.0000  6 Al 2.22-2.29
Al 0.1627 0.5273 0.1627  1 Fe 2.29
Th 0.5821 0.5821 0.5821  1 Th 3.07, 6 Al 3.07-3.32
Al 0.7267 0.0959 0.7267  2 Fe 2.22
Al 0.9041 0.2733 0.2733  2 Fe 2.22
Al 0.1627 0.1627 0.5273  1 Fe 2.29
Al 0.8373 0.8373 0.4727  1 Fe 2.29
Fe 0.0000 0.5000 0.0000  6 Al 2.22-2.29
Th 0.4179 0.4179 0.4179  1 Th 3.07, 6 Al 3.07-3.32

Output
energy of formation	0.198	eV/atom
ρ	4.8	Mg/m³
SG	R-3m (166)

No. 2
Er2Al5ZnFe2 | PBE-GGA | optimized geometry

Lattice parameters (Å, degrees): 4.1100 9.1953 9.1953 90.00 90.00 90.00
Closest atoms and distances in Å follow each position.
Atoms (fractional coordinates):
Al 0.5000 0.5593 0.7139  4 Al 2.69-2.95, 2 Fe 2.70, 2 Zn 2.90
Fe 0.0000 0.5994 0.9006  6 Al 2.43-2.70, 1 Fe 2.59
Fe 0.0000 0.0994 0.5994  6 Al 2.43-2.70, 1 Fe 2.59
Al 0.5000 0.4407 0.2861  4 Al 2.69-2.95, 2 Fe 2.70, 2 Zn 2.90
Er 0.0000 0.6874 0.1874  3 Fe 2.76-2.77
Fe 0.0000 0.9006 0.4006  6 Al 2.43-2.70, 1 Fe 2.59
Al 0.5000 0.2861 0.5593  4 Al 2.69-2.95, 2 Fe 2.70, 2 Zn 2.90
Er 0.0000 0.3126 0.8126  3 Fe 2.76-2.77
Zn 0.0000 0.0000 0.0000  8 Al 2.90
Er 0.0000 0.8126 0.6874  3 Fe 2.76-2.77
Al 0.5000 0.9407 0.2139  4 Al 2.69-2.95, 2 Fe 2.70, 2 Zn 2.90
Er 0.0000 0.1874 0.3126  3 Fe 2.76-2.77
Zn 0.0000 0.5000 0.5000  8 Al 2.90
Al 0.5000 0.2139 0.0593  4 Al 2.69-2.95, 2 Fe 2.70, 2 Zn 2.90
Fe 0.0000 0.4006 0.0994  6 Al 2.43-2.70, 1 Fe 2.59
Al 0.5000 0.0593 0.7861  4 Al 2.69-2.95, 2 Fe 2.70, 2 Zn 2.90
Al 0.5000 0.0000 0.5000  4 Fe 2.43, 4 Al 2.69
Al 0.5000 0.5000 0.0000  4 Fe 2.43, 4 Al 2.69
Al 0.5000 0.7861 0.9407  4 Al 2.69-2.95, 2 Fe 2.70, 2 Zn 2.90
Al 0.5000 0.7139 0.4407  4 Al 2.69-2.95, 2 Fe 2.70, 2 Zn 2.90

Output
energy of formation	-0.278	eV/atom
ρ	6.2	Mg/m³
SG	P4/mbm (127)